Crystalline CdCu2As2 at its relaxed geometry, computed with PBE-GGA.

Cell lengths 7.9436, 7.9436, 2.7580 Å; angles 90.00, 90.00, 90.00 degrees
With the nearest neighbours (Å) after each atom.
Space group P4/mbm (No. 127)
Inequivalent atoms, fractional coordinates:
Cd1 0.0000 0.0000 0.0000  2 Cd 2.76, 4 As 3.05
Cu1 0.1524 0.3476 0.5000  6 As 2.67-2.73, 2 Cu 2.76
As1 0.1442 0.6442 0.0000  6 Cu 2.67-2.73, 2 As 2.76

Values from the calculation:
E above lowest polymorph = 79 meV/atom
magnetic moment = 0.0 μB per cell
formation energy from the elements = 0.9 eV per formula unit

---

Crystalline ScInSn2 at its relaxed geometry, computed with PBE-GGA.

Cell lengths 8.1872, 8.1872, 6.2596 Å; angles 90.00, 90.00, 90.00 degrees
With the nearest neighbours (Å) after each atom.
Space group I-42d (No. 122)
Inequivalent atoms, fractional coordinates:
Sc1 0.0000 0.0000 0.0000  4 Sn 3.06, 2 In 3.13
In1 0.0000 0.0000 0.5000  4 Sn 2.94, 2 Sc 3.13
Sn1 0.2397 0.2500 0.6250  2 In 2.94, 2 Sc 3.06, 2 Sn 3.13

Values from the calculation:
magnetic moment = 0.0 μB per cell
formation energy from the elements = -0.3 eV per formula unit